No. 1
Sn3Pd2Pt8 | PBE | optimized geometry

Its energy of formation from the pure elements is -1.649 eV per formula unit. For the density of states at the Fermi level, the calculation gives 0.83 states/eV/atom.

It has space group R-3m (No. 166, hexagonal axes), with a = 5.3964 Å, b = 5.3964 Å, c = 29.8562 Å, α = 90.00°, β = 90.00° and γ = 120.00°. Symmetry generates all atoms from Sn at (0.0000, 0.0000, 0.0000), Sn at (0.0000, 0.0000, 0.1529), Pd at (0.0000, 0.0000, 0.3314), Pt at (0.0000, 0.0000, 0.2415) and Pt at (0.0060, 0.5030, 0.2546).

No. 2
AcMgGaPd3 | PBE | optimized geometry

Its energy of formation from the pure elements is -3.396 eV per formula unit. For the density of states at the Fermi level, the calculation gives 0.54 states/eV/atom.

It has space group Cmcm (No. 63), with a = 6.913 Å, b = 12.654 Å, c = 5.936 Å, α = 90.00°, β = 90.00° and γ = 90.00°. Symmetry generates all atoms from Ac at (0.000, 0.205, 0.250), Mg at (0.000, 0.468, 0.250), Ga at (0.000, 0.124, 0.750), Pd at (0.000, 0.322, 0.750) and Pd at (0.201, 0.000, 0.000).

Number 1: V 19.307 A^3/atom. Number 2: V 21.636 A^3/atom.